Crystalline KLiSeBr at its relaxed geometry, computed with PBE.

abc: 5.0136 4.7495 5.2180
angles: 90.00 105.45 90.00
With the nearest neighbours (Å) after each atom.
Atoms (fractional coordinates):
K (0.0000, 0.0000, 0.5000)  4 Br 3.45, 4 Se 3.53
Li (0.5000, 0.5000, 0.0000)  2 Se 2.51, 2 Br 2.61
Se (0.0000, 0.5000, 0.0000)  2 Li 2.51
Br (0.5000, 0.5000, 0.5000)  2 Li 2.61

Computed properties:
uncorrected energy: -3.0890 eV per atom
raw formation energy: -1.0468 eV per atom